Here is a geometry-optimized CaZn12 structure from Alexandria via LeMat-Bulk. Energies are from PBE-GGA.

The structure in POSCAR format:
```
CaZn12
1.0
-4.4651 4.4651 2.6302
4.4651 -4.4651 2.6302
4.4651 4.4651 -2.6302
Ca Zn
1 12
direct
0.0000 0.0000 0.0000
0.0000 0.0000 0.5000
0.0000 0.3545 0.3545
0.0000 0.5000 0.0000
0.0000 0.6455 0.6455
0.2806 0.5000 0.7806
0.3545 0.0000 0.3545
0.5000 0.0000 0.0000
0.5000 0.2806 0.7806
0.5000 0.5000 0.5000
0.5000 0.7194 0.2194
0.6455 0.0000 0.6455
0.7194 0.5000 0.2194
```

## Properties
electronic total energy: -0.1071 Ry per atom